Computed, not measured: an optimized crystal structure of Y2CoSb at the PBE level of DFT.

Cell lengths 5.936, 5.936, 5.936 Å; angles 138.22, 138.22, 60.56 degrees
Element x y z (fractional)
Y 0.000 0.000 0.000
Y 0.750 0.250 0.500
Co 0.250 0.750 0.500
Sb 0.500 0.500 0.000

Density   6.48 g cm⁻³
VASP energy   -6.35 eV/atom